Record 1
The following is a GGA-PBE calculation of a relaxed BaZnTeN2 crystal, from Alexandria.

a b c (Å): 4.667 4.667 7.329
angles (deg): 90.00 90.00 90.00
Site moments in Bohr magnetons follow the coordinates.
Atoms (fractional coordinates):
Zn: 0.500 0.500 0.500  0.00
Te: 0.000 0.000 0.500  0.06
Ba: 0.000 0.000 0.000  -0.01
N: 0.000 0.500 0.000  0.83
N: 0.500 0.000 0.000  0.83

Results
DOS at the Fermi energy in states/eV per atom: 0.977
E in eV per atom: -3.10
Relative energy among the computed polymorphs in meV/atom: 701.1
Formation energy without anion corrections in eV per atom: 1.5021

***

Record 2
The following is a GGA-PBE calculation of a relaxed La2TbU2Ru5 crystal, from Alexandria.

a b c (Å): 3.528 10.986 10.986
angles (deg): 90.00 90.00 90.00
Atoms (fractional coordinates):
La: 0.000 0.676 0.176
La: 0.000 0.324 0.824
La: 0.000 0.176 0.324
La: 0.000 0.824 0.676
Tb: 0.000 0.000 0.000
Tb: 0.000 0.500 0.500
U: 0.000 0.137 0.637
U: 0.000 0.863 0.363
U: 0.000 0.637 0.863
U: 0.000 0.363 0.137
Ru: 0.500 0.218 0.048
Ru: 0.500 0.782 0.952
Ru: 0.500 0.048 0.782
Ru: 0.500 0.718 0.452
Ru: 0.500 0.952 0.218
Ru: 0.500 0.282 0.548
Ru: 0.500 0.548 0.718
Ru: 0.500 0.452 0.282
Ru: 0.500 0.500 0.000
Ru: 0.500 0.000 0.500

Results
DOS at the Fermi energy in states/eV per atom: 0.700
E in eV per atom: -8.57

***

What did the second record say?
The following is a GGA-PBE calculation of a relaxed La2TbU2Ru5 crystal, from Alexandria.

a b c (Å): 3.528 10.986 10.986
angles (deg): 90.00 90.00 90.00
Atoms (fractional coordinates):
La: 0.000 0.676 0.176
La: 0.000 0.324 0.824
La: 0.000 0.176 0.324
La: 0.000 0.824 0.676
Tb: 0.000 0.000 0.000
Tb: 0.000 0.500 0.500
U: 0.000 0.137 0.637
U: 0.000 0.863 0.363
U: 0.000 0.637 0.863
U: 0.000 0.363 0.137
Ru: 0.500 0.218 0.048
Ru: 0.500 0.782 0.952
Ru: 0.500 0.048 0.782
Ru: 0.500 0.718 0.452
Ru: 0.500 0.952 0.218
Ru: 0.500 0.282 0.548
Ru: 0.500 0.548 0.718
Ru: 0.500 0.452 0.282
Ru: 0.500 0.500 0.000
Ru: 0.500 0.000 0.500

Results
DOS at the Fermi energy in states/eV per atom: 0.700
E in eV per atom: -8.57